Here is a geometry-optimized BeIrBr4 structure from the Alexandria database. Energies are from PBE.

Output
DOS(E_F)	1.349	states/eV/atom
theoretical density	5.6	Mg/m³
crystal system	cubic
formation energy (no corrections)	1771	meV per atom
raw total energy	-1.4425	eV/atom

a b c (Å): 6.0370 6.0370 6.0370
angles (deg): 60.00 60.00 60.00
Element x y z (fractional)
Be1 0.0000 0.0000 0.0000
Ir1 0.2500 0.2500 0.2500
Br1 0.1280 0.6240 0.6240
Br2 0.6240 0.1280 0.6240
Br3 0.6240 0.6240 0.1280
Br4 0.6240 0.6240 0.6240